(1)
Material: CrRe4Se8
Method: DFT, GGA-PBE
State: relaxed Values from VASP.

## Properties
- V (Å³/cell) = 266
- N(E_F) (states/eV/f.u.) = 7.7
- energy relative to the elements, uncorrected (kJ/mol of formula units) = 111
- symmetry = R-3m, No. 166
- final energy (eV/f.u.) = -86.15

Quantum ESPRESSO input file:
```
&SYSTEM
  ibrav = 0, nat = 13, ntyp = 3
/
ATOMIC_SPECIES
Cr 52.00 Cr.upf
Re 186.21 Re.upf
Se 78.96 Se.upf
ATOMIC_POSITIONS crystal
Cr 0.0000 0.0000 0.0000
Re 0.0000 0.0000 0.5000
Re 0.0000 0.5000 0.0000
Re 0.5000 0.0000 0.0000
Re 0.5000 0.5000 0.5000
Se 0.2450 0.7472 0.7472
Se 0.2463 0.2463 0.2463
Se 0.2528 0.2528 0.7550
Se 0.2528 0.7550 0.2528
Se 0.7472 0.2450 0.7472
Se 0.7472 0.7472 0.2450
Se 0.7537 0.7537 0.7537
Se 0.7550 0.2528 0.2528
CELL_PARAMETERS angstrom
3.2212 1.8597 7.4066
-3.2212 1.8597 7.4066
0.0000 -3.7195 7.4066
```

---

(2)
Material: Ca3HoEr2Se6
Method: DFT, GGA-PBE
State: relaxed Values from VASP.

## Properties
- V (Å³/cell) = 296
- N(E_F) (states/eV/f.u.) = 4.3
- energy relative to the elements, uncorrected (kJ/mol of formula units) = -2147
- symmetry = C2/m, No. 12
- final energy (eV/f.u.) = -62.87

Quantum ESPRESSO input file:
```
&SYSTEM
  ibrav = 0, nat = 12, ntyp = 4
/
ATOMIC_SPECIES
Ca 40.08 Ca.upf
Ho 164.93 Ho.upf
Er 167.26 Er.upf
Se 78.96 Se.upf
ATOMIC_POSITIONS crystal
Ca 0.0000 0.0000 0.0000
Ca 0.3336 0.6664 0.0000
Ca 0.6664 0.3336 0.0000
Ho 0.5000 0.5000 0.5000
Er 0.1667 0.8333 0.5000
Er 0.8333 0.1667 0.5000
Se 0.0846 0.4190 0.2570
Se 0.2465 0.2465 0.7430
Se 0.4190 0.0846 0.2570
Se 0.5810 0.9154 0.7430
Se 0.7535 0.7535 0.2570
Se 0.9154 0.5810 0.7430
CELL_PARAMETERS angstrom
3.5444 -6.1321 0.0000
3.5444 6.1321 0.0000
-2.3669 0.0000 6.7992
```

---

(3)
Material: Rb3VBi
Method: DFT, GGA-PBE
State: relaxed Values from VASP.

## Properties
- energy above the most stable polymorph in this dataset (kJ per mole of atoms) = 0.0
- V (Å³/cell) = 365
- N(E_F) (states/eV/f.u.) = 17.2
- symmetry = Pm-3m, No. 221
- final energy (eV/f.u.) = -11.95

Quantum ESPRESSO input file:
```
&SYSTEM
  ibrav = 0, nat = 5, ntyp = 3
/
ATOMIC_SPECIES
Rb 85.47 Rb.upf
V 50.94 V.upf
Bi 208.98 Bi.upf
ATOMIC_POSITIONS crystal
Rb 0.0000 0.0000 0.5000
Rb 0.0000 0.5000 0.0000
Rb 0.5000 0.0000 0.0000
V 0.5000 0.5000 0.5000
Bi 0.0000 0.0000 0.0000
CELL_PARAMETERS angstrom
7.1434 0.0000 0.0000
0.0000 7.1434 0.0000
0.0000 0.0000 7.1434
```

---

(4)
Material: Pu2TiPt3
Method: DFT, GGA-PBE
State: relaxed Values from VASP.

## Properties
- V (Å³/cell) = 130
- N(E_F) (states/eV/f.u.) = 21.3
- symmetry = Immm, No. 71
- final energy (eV/f.u.) = -58.48

Quantum ESPRESSO input file:
```
&SYSTEM
  ibrav = 0, nat = 6, ntyp = 3
/
ATOMIC_SPECIES
Pu 244.00 Pu.upf
Ti 47.87 Ti.upf
Pt 195.08 Pt.upf
ATOMIC_POSITIONS crystal
Pu 0.1745 0.1745 0.0000
Pu 0.8255 0.8255 0.0000
Ti 0.5000 0.5000 0.0000
Pt 0.0000 0.5000 0.5000
Pt 0.3625 0.8625 0.5000
Pt 0.6375 0.1375 0.5000
CELL_PARAMETERS angstrom
-2.0959 2.7702 5.6061
2.0959 -2.7702 5.6061
2.0959 2.7702 -5.6061
```

---

(5)
Material: Sm2MnPd
Method: DFT, GGA-PBE
State: relaxed Values from VASP.

## Properties
- energy above the most stable polymorph in this dataset (kJ per mole of atoms) = 0.0
- V (Å³/cell) = 93
- N(E_F) (states/eV/f.u.) = 4.3
- symmetry = P4/mmm, No. 123
- final energy (eV/f.u.) = -24.84

Quantum ESPRESSO input file:
```
&SYSTEM
  ibrav = 0, nat = 4, ntyp = 3
/
ATOMIC_SPECIES
Sm 150.36 Sm.upf
Mn 54.94 Mn.upf
Pd 106.42 Pd.upf
ATOMIC_POSITIONS crystal
Sm 0.0000 0.0000 0.2479
Sm 0.0000 0.0000 0.7521
Mn 0.5000 0.5000 0.5000
Pd 0.5000 0.5000 0.0000
CELL_PARAMETERS angstrom
3.6342 0.0000 0.0000
0.0000 3.6342 0.0000
0.0000 0.0000 7.0145
```

---

(6)
Material: VAsRh
Method: DFT, GGA-PBE
State: relaxed Values from VASP.

## Properties
- V (Å³/cell) = 175
- N(E_F) (states/eV/f.u.) = 1.3
- symmetry = Pnma, No. 62
- final energy (eV/f.u.) = -22.49

Quantum ESPRESSO input file:
```
&SYSTEM
  ibrav = 0, nat = 12, ntyp = 3
/
ATOMIC_SPECIES
V 50.94 V.upf
As 74.92 As.upf
Rh 102.91 Rh.upf
ATOMIC_POSITIONS crystal
V 0.0311 0.2500 0.1805
V 0.4689 0.7500 0.6805
V 0.5311 0.2500 0.3195
V 0.9689 0.7500 0.8195
As 0.2403 0.2500 0.8824
As 0.2597 0.7500 0.3824
As 0.7403 0.2500 0.6176
As 0.7597 0.7500 0.1176
Rh 0.1450 0.2500 0.5638
Rh 0.3550 0.7500 0.0638
Rh 0.6450 0.2500 0.9362
Rh 0.8550 0.7500 0.4362
CELL_PARAMETERS angstrom
6.1333 0.0000 0.0000
0.0000 3.9079 0.0000
0.0000 0.0000 7.3076
```

---

(7)
Material: Zn3PN
Method: DFT, GGA-PBE
State: relaxed Values from VASP.

## Properties
- energy above the most stable polymorph in this dataset (kJ per mole of atoms) = 89.6
- V (Å³/cell) = 97
- N(E_F) (states/eV/f.u.) = 4.4
- energy relative to the elements, uncorrected (kJ/mol of formula units) = 573
- symmetry = Pm-3m, No. 221
- final energy (eV/f.u.) = -11.62

Quantum ESPRESSO input file:
```
&SYSTEM
  ibrav = 0, nat = 5, ntyp = 3
/
ATOMIC_SPECIES
Zn 65.41 Zn.upf
P 30.97 P.upf
N 14.01 N.upf
ATOMIC_POSITIONS crystal
Zn 0.0000 0.0000 0.5000
Zn 0.0000 0.5000 0.0000
Zn 0.5000 0.0000 0.0000
P 0.0000 0.0000 0.0000
N 0.5000 0.5000 0.5000
CELL_PARAMETERS angstrom
4.5875 0.0000 0.0000
0.0000 4.5875 0.0000
0.0000 0.0000 4.5875
```

---

(8)
Material: Zr2TlIrW
Method: DFT, GGA-PBE
State: relaxed Values from VASP.

## Properties
- V (Å³/cell) = 125
- N(E_F) (states/eV/f.u.) = 5.9
- symmetry = P4/mmm, No. 123
- final energy (eV/f.u.) = -35.70

Quantum ESPRESSO input file:
```
&SYSTEM
  ibrav = 0, nat = 5, ntyp = 4
/
ATOMIC_SPECIES
Zr 91.22 Zr.upf
Tl 204.38 Tl.upf
Ir 192.22 Ir.upf
W 183.84 W.upf
ATOMIC_POSITIONS crystal
Zr 0.0000 0.5000 0.0000
Zr 0.5000 0.0000 0.0000
Tl 0.0000 0.0000 0.5000
Ir 0.0000 0.0000 0.0000
W 0.5000 0.5000 0.5000
CELL_PARAMETERS angstrom
4.9904 0.0000 0.0000
0.0000 4.9904 0.0000
0.0000 0.0000 5.0153
```

---

(9)
Material: Tm5TlIr
Method: DFT, GGA-PBE
State: relaxed Values from VASP.

## Properties
- V (Å³/cell) = 381
- N(E_F) (states/eV/f.u.) = 7.2
- symmetry = C2/c, No. 15
- final energy (eV/f.u.) = -35.53

Quantum ESPRESSO input file:
```
&SYSTEM
  ibrav = 0, nat = 14, ntyp = 3
/
ATOMIC_SPECIES
Tm 168.93 Tm.upf
Tl 204.38 Tl.upf
Ir 192.22 Ir.upf
ATOMIC_POSITIONS crystal
Tm 0.0018 0.9982 0.7500
Tm 0.0818 0.4201 0.6238
Tm 0.2101 0.5432 0.9348
Tm 0.4201 0.0818 0.1238
Tm 0.4568 0.7899 0.5652
Tm 0.5432 0.2101 0.4348
Tm 0.5799 0.9182 0.8762
Tm 0.7899 0.4568 0.0652
Tm 0.9182 0.5799 0.3762
Tm 0.9982 0.0018 0.2500
Tl 0.4057 0.5943 0.2500
Tl 0.5943 0.4057 0.7500
Ir 0.0000 0.0000 0.0000
Ir 0.0000 0.0000 0.5000
CELL_PARAMETERS angstrom
4.5506 -3.6984 0.0000
4.5506 3.6984 0.0000
-3.1110 0.0000 11.3257
```

---

(10)
Material: TaTi3Mo3
Method: DFT, GGA-PBE
State: relaxed Values from VASP.

## Properties
- V (Å³/cell) = 230
- N(E_F) (states/eV/f.u.) = 9.8
- symmetry = P2_1/m, No. 11
- final energy (eV/f.u.) = -68.63

Quantum ESPRESSO input file:
```
&SYSTEM
  ibrav = 0, nat = 14, ntyp = 3
/
ATOMIC_SPECIES
Ta 180.95 Ta.upf
Ti 47.87 Ti.upf
Mo 95.94 Mo.upf
ATOMIC_POSITIONS crystal
Ta 0.2211 0.2500 0.3267
Ta 0.7789 0.7500 0.6733
Ti 0.2167 0.7500 0.8082
Ti 0.3546 0.2500 0.0248
Ti 0.4962 0.7500 0.2610
Ti 0.5038 0.2500 0.7390
Ti 0.6454 0.7500 0.9752
Ti 0.7833 0.2500 0.1918
Mo 0.0627 0.2500 0.6066
Mo 0.0656 0.7500 0.1015
Mo 0.3555 0.7500 0.5377
Mo 0.6445 0.2500 0.4623
Mo 0.9344 0.2500 0.8985
Mo 0.9373 0.7500 0.3934
CELL_PARAMETERS angstrom
6.9998 0.0000 0.0000
0.0000 4.5099 0.0000
-2.9189 0.0000 7.2843
```

---

(11)
Material: BaSr2Ca3
Method: DFT, GGA-PBE
State: relaxed Values from VASP.

## Properties
- energy above the most stable polymorph in this dataset (kJ per mole of atoms) = 4.1
- V (Å³/cell) = 618
- N(E_F) (states/eV/f.u.) = 7.3
- symmetry = C2/m, No. 12
- final energy (eV/f.u.) = -10.87

Quantum ESPRESSO input file:
```
&SYSTEM
  ibrav = 0, nat = 12, ntyp = 3
/
ATOMIC_SPECIES
Ba 137.33 Ba.upf
Sr 87.62 Sr.upf
Ca 40.08 Ca.upf
ATOMIC_POSITIONS crystal
Ba 0.1383 0.1383 0.0156
Ba 0.8617 0.8617 0.9844
Sr 0.1826 0.1826 0.7841
Sr 0.4633 0.4633 0.8149
Sr 0.5367 0.5367 0.1851
Sr 0.8174 0.8174 0.2159
Ca 0.0420 0.0420 0.3843
Ca 0.2832 0.2832 0.5998
Ca 0.3917 0.3917 0.4273
Ca 0.6083 0.6083 0.5727
Ca 0.7168 0.7168 0.4002
Ca 0.9580 0.9580 0.6157
CELL_PARAMETERS angstrom
8.8756 -2.1332 0.0000
8.8756 2.1332 0.0000
-5.4692 0.0000 16.3294
```

---

(12)
Material: Y6Hg5Sb
Method: DFT, GGA-PBE
State: relaxed Values from VASP.

## Properties
- V (Å³/cell) = 312
- N(E_F) (states/eV/f.u.) = 12.1
- energy relative to the elements, uncorrected (kJ/mol of formula units) = -665
- symmetry = Immm, No. 71
- final energy (eV/f.u.) = -51.31

Quantum ESPRESSO input file:
```
&SYSTEM
  ibrav = 0, nat = 12, ntyp = 3
/
ATOMIC_SPECIES
Y 88.91 Y.upf
Hg 200.59 Hg.upf
Sb 121.76 Sb.upf
ATOMIC_POSITIONS crystal
Y 0.0823 0.8340 0.2484
Y 0.2493 0.5000 0.7493
Y 0.4144 0.1660 0.2484
Y 0.5856 0.8340 0.7516
Y 0.7507 0.5000 0.2507
Y 0.9177 0.1660 0.7516
Hg 0.1768 0.6768 0.5000
Hg 0.3335 0.3335 0.0000
Hg 0.5000 0.0000 0.5000
Hg 0.6665 0.6665 0.0000
Hg 0.8232 0.3232 0.5000
Sb 0.0000 0.0000 0.0000
CELL_PARAMETERS angstrom
-2.6487 3.6961 7.9721
2.6487 -3.6961 7.9721
2.6487 3.6961 -7.9721
```

---

(13)
Material: PuTh2S3
Method: DFT, GGA-PBE
State: relaxed Values from VASP.

## Properties
- V (Å³/cell) = 274
- N(E_F) (states/eV/f.u.) = 8.0
- energy relative to the elements, uncorrected (kJ/mol of formula units) = -1060
- symmetry = C2/m, No. 12
- final energy (eV/f.u.) = -52.54

Quantum ESPRESSO input file:
```
&SYSTEM
  ibrav = 0, nat = 12, ntyp = 3
/
ATOMIC_SPECIES
Pu 244.00 Pu.upf
Th 232.04 Th.upf
S 32.06 S.upf
ATOMIC_POSITIONS crystal
Pu 0.1670 0.8330 0.0000
Pu 0.8330 0.1670 0.0000
Th 0.0000 0.0000 0.5000
Th 0.3354 0.6646 0.5000
Th 0.5000 0.5000 0.0000
Th 0.6646 0.3354 0.5000
S 0.0798 0.4188 0.7567
S 0.2407 0.2407 0.2402
S 0.4188 0.0798 0.7567
S 0.5812 0.9202 0.2433
S 0.7593 0.7593 0.7598
S 0.9202 0.5812 0.2433
CELL_PARAMETERS angstrom
3.4681 -5.9872 0.0000
3.4681 5.9872 0.0000
-2.2935 0.0000 6.5934
```

---

(14)
Material: SbTe2Au
Method: DFT, GGA-PBE
State: relaxed Values from VASP.

## Properties
- V (Å³/cell) = 118
- N(E_F) (states/eV/f.u.) = 2.4
- energy relative to the elements, uncorrected (kJ/mol of formula units) = 30
- symmetry = Immm, No. 71
- final energy (eV/f.u.) = -13.37

Quantum ESPRESSO input file:
```
&SYSTEM
  ibrav = 0, nat = 4, ntyp = 3
/
ATOMIC_SPECIES
Sb 121.76 Sb.upf
Te 127.60 Te.upf
Au 196.97 Au.upf
ATOMIC_POSITIONS crystal
Sb 0.0000 0.0000 0.0000
Te 0.3334 0.8334 0.5000
Te 0.6666 0.1666 0.5000
Au 0.5000 0.5000 0.0000
CELL_PARAMETERS angstrom
-2.0351 2.3752 6.0982
2.0351 -2.3752 6.0982
2.0351 2.3752 -6.0982
```

---

(15)
Material: La4CdSnN
Method: DFT, GGA-PBE
State: relaxed Values from VASP.

## Properties
- V (Å³/cell) = 424
- N(E_F) (states/eV/f.u.) = 5.2
- energy relative to the elements, uncorrected (kJ/mol of formula units) = -484
- symmetry = Cmcm, No. 63
- final energy (eV/f.u.) = -37.96

Quantum ESPRESSO input file:
```
&SYSTEM
  ibrav = 0, nat = 14, ntyp = 4
/
ATOMIC_SPECIES
La 138.91 La.upf
Cd 112.41 Cd.upf
Sn 118.71 Sn.upf
N 14.01 N.upf
ATOMIC_POSITIONS crystal
La 0.0000 0.5000 0.0000
La 0.0000 0.5000 0.5000
La 0.0801 0.9199 0.7500
La 0.4135 0.5865 0.7500
La 0.5000 0.0000 0.0000
La 0.5000 0.0000 0.5000
La 0.5865 0.4135 0.2500
La 0.9199 0.0801 0.2500
Cd 0.3854 0.6146 0.2500
Cd 0.6146 0.3854 0.7500
Sn 0.1117 0.8883 0.2500
Sn 0.8883 0.1117 0.7500
N 0.2670 0.7330 0.7500
N 0.7330 0.2670 0.2500
CELL_PARAMETERS angstrom
3.5645 -8.3729 0.0000
3.5645 8.3729 0.0000
0.0000 0.0000 7.1092
```

---

(16)
Material: PaNi4H8Rh
Method: DFT, GGA-PBE
State: relaxed Values from VASP.

## Properties
- V (Å³/cell) = 112
- N(E_F) (states/eV/f.u.) = 7.9
- symmetry = R3m, No. 160
- final energy (eV/f.u.) = -67.78

Quantum ESPRESSO input file:
```
&SYSTEM
  ibrav = 0, nat = 14, ntyp = 4
/
ATOMIC_SPECIES
Pa 231.04 Pa.upf
Ni 58.69 Ni.upf
H 1.01 H.upf
Rh 102.91 Rh.upf
ATOMIC_POSITIONS crystal
Pa 0.0000 0.0000 0.0000
Ni 0.3687 0.3687 0.8506
Ni 0.3687 0.8506 0.3687
Ni 0.7298 0.7298 0.7298
Ni 0.8506 0.3687 0.3687
H 0.1307 0.6190 0.6190
H 0.1362 0.1362 0.5107
H 0.1362 0.5107 0.1362
H 0.1473 0.1473 0.1473
H 0.5107 0.1362 0.1362
H 0.6046 0.6046 0.6046
H 0.6190 0.1307 0.6190
H 0.6190 0.6190 0.1307
Rh 0.3657 0.3657 0.3657
CELL_PARAMETERS angstrom
2.6288 1.5177 4.6780
-2.6288 1.5177 4.6780
0.0000 -3.0355 4.6780
```

---

(17)
Material: PrInSn
Method: DFT, GGA-PBE
State: relaxed Values from VASP.

## Properties
- energy above the most stable polymorph in this dataset (kJ per mole of atoms) = 20.9
- V (Å³/cell) = 91
- N(E_F) (states/eV/f.u.) = 2.1
- symmetry = I4mm, No. 107
- final energy (eV/f.u.) = -12.43

Quantum ESPRESSO input file:
```
&SYSTEM
  ibrav = 0, nat = 3, ntyp = 3
/
ATOMIC_SPECIES
Pr 140.91 Pr.upf
In 114.82 In.upf
Sn 118.71 Sn.upf
ATOMIC_POSITIONS crystal
Pr 0.0000 0.0000 0.0000
In 0.6616 0.6616 0.0000
Sn 0.3432 0.3432 0.0000
CELL_PARAMETERS angstrom
-2.2187 2.2187 4.6122
2.2187 -2.2187 4.6122
2.2187 2.2187 -4.6122
```

---

(18)
Material: LiIn
Method: DFT, GGA-PBE
State: relaxed Values from VASP.

## Properties
- V (Å³/cell) = 362
- N(E_F) (states/eV/f.u.) = 2.3
- symmetry = I-43m, No. 217
- final energy (eV/f.u.) = -4.05

Quantum ESPRESSO input file:
```
&SYSTEM
  ibrav = 0, nat = 8, ntyp = 2
/
ATOMIC_SPECIES
Li 6.94 Li.upf
In 114.82 In.upf
ATOMIC_POSITIONS crystal
Li 0.0000 0.0000 0.5929
Li 0.0000 0.5929 0.0000
Li 0.4071 0.4071 0.4071
Li 0.5929 0.0000 0.0000
In 0.0000 0.0000 0.2425
In 0.0000 0.2425 0.0000
In 0.2425 0.0000 0.0000
In 0.7575 0.7575 0.7575
CELL_PARAMETERS angstrom
-4.4897 4.4897 4.4897
4.4897 -4.4897 4.4897
4.4897 4.4897 -4.4897
```

---

(19)
Material: Dy3NiAu
Method: DFT, GGA-PBE
State: relaxed Values from VASP.

## Properties
- energy above the most stable polymorph in this dataset (kJ per mole of atoms) = 0.0
- V (Å³/cell) = 242
- N(E_F) (states/eV/f.u.) = 5.2
- symmetry = C2/m, No. 12
- final energy (eV/f.u.) = -25.24

Quantum ESPRESSO input file:
```
&SYSTEM
  ibrav = 0, nat = 10, ntyp = 3
/
ATOMIC_SPECIES
Dy 162.50 Dy.upf
Ni 58.69 Ni.upf
Au 196.97 Au.upf
ATOMIC_POSITIONS crystal
Dy 0.0239 0.0239 0.2265
Dy 0.2906 0.2906 0.6730
Dy 0.3209 0.3209 0.1372
Dy 0.6791 0.6791 0.8628
Dy 0.7094 0.7094 0.3270
Dy 0.9761 0.9761 0.7735
Ni 0.3089 0.6911 0.0000
Ni 0.6911 0.3089 0.0000
Au 0.2776 0.7224 0.5000
Au 0.7224 0.2776 0.5000
CELL_PARAMETERS angstrom
4.9910 -3.2469 0.0000
4.9910 3.2469 0.0000
-3.7033 0.0000 7.4800
```

---

(20)
Material: ZnCu2Se
Method: DFT, GGA-PBE
State: relaxed Values from VASP.

## Properties
- energy above the most stable polymorph in this dataset (kJ per mole of atoms) = 13.2
- V (Å³/cell) = 61
- N(E_F) (states/eV/f.u.) = 0.1
- energy relative to the elements, uncorrected (kJ/mol of formula units) = 60
- symmetry = Fm-3m, No. 225
- final energy (eV/f.u.) = -12.32

Quantum ESPRESSO input file:
```
&SYSTEM
  ibrav = 0, nat = 4, ntyp = 3
/
ATOMIC_SPECIES
Zn 65.41 Zn.upf
Cu 63.55 Cu.upf
Se 78.96 Se.upf
ATOMIC_POSITIONS crystal
Zn 0.0000 0.0000 0.0000
Cu 0.2500 0.2500 0.2500
Cu 0.7500 0.7500 0.7500
Se 0.5000 0.5000 0.5000
CELL_PARAMETERS angstrom
0.0000 3.1226 3.1226
3.1226 0.0000 3.1226
3.1226 3.1226 0.0000
```